VASP calculation (GGA-PBE) on a relaxed Cd5Rh crystal.

CIF file:
```
data_Cd5Rh
_cell_length_a 5.3867
_cell_length_b 5.3867
_cell_length_c 4.7182
_cell_angle_alpha 90.00
_cell_angle_beta 90.00
_cell_angle_gamma 120.00
_space_group_name_H-M_alt 'P -6 2 m'
_space_group_IT_number 189
_space_group_name_Hall 'P -6 -2'
loop_
_atom_site_label
_atom_site_fract_x
_atom_site_fract_y
_atom_site_fract_z
Cd1 0.0000 0.6831 0.0000
Cd2 0.3333 0.6667 0.5000
Rh1 0.0000 0.0000 0.5000
```

Properties
formation enthalpy at 0 K: -40.3 meV per atom

---

VASP calculation (GGA-PBE) on a relaxed Cd7Rh crystal.

CIF file:
```
data_Cd7Rh
_cell_length_a 8.6337
_cell_length_b 8.6337
_cell_length_c 8.6337
_cell_angle_alpha 90.00
_cell_angle_beta 90.00
_cell_angle_gamma 90.00
_space_group_name_H-M_alt 'F m -3 m'
_space_group_IT_number 225
_space_group_name_Hall '-F 4 2 3'
loop_
_atom_site_label
_atom_site_fract_x
_atom_site_fract_y
_atom_site_fract_z
Cd1 0.0000 0.0000 0.0000
Cd2 0.0000 0.2500 0.2500
Rh1 0.0000 0.0000 0.5000
```

Properties
formation enthalpy at 0 K: -12.5 meV per atom